# LiNiBO3

Crystalline LiNiBO3 at its relaxed geometry (PBE with a Hubbard U, Alexandria).

Cell: 8.0745 8.0745 3.0605 Å, 90.00 90.00 120.00°
Space group P-6 (No. 174)
Inequivalent atoms, fractional coordinates:
Li 0.0594 0.3680 0.0000 x3
Ni 0.3489 0.3009 0.5000 x3
B 0.0000 0.0000 0.0000 x1
B 0.3333 0.6667 0.5000 x1
B 0.6667 0.3333 0.0000 x1
O 0.1971 0.1151 0.0000 x3
O 0.2325 0.4680 0.5000 x3
O 0.5529 0.4181 0.0000 x3

Computed properties:
The offset from the most stable computed form comes out at 0 meV per atom.